Arrangement P

The following is a PBE calculation of Re2RhW after structural relaxation, from Alexandria.

Properties
- size of the total moment (μB/cell) = 0.00

Cell and atoms, written as CIF:
```
data_Re2RhW
_chemical_formula_sum 'Re2 Rh1 W1'
_symmetry_space_group_name_H-M 'P 1'
_symmetry_Int_Tables_number 1
_symmetry_space_group_name_Hall 'P 1'
_cell_length_a 2.728
_cell_length_b 3.952
_cell_length_c 5.620
_cell_angle_alpha 90.00
_cell_angle_beta 90.00
_cell_angle_gamma 90.00
loop_
_atom_site_label
_atom_site_fract_x
_atom_site_fract_y
_atom_site_fract_z
Rh1 0.500 0.500 0.000
Re1 0.000 0.000 0.761
Re2 0.000 0.000 0.239
W1 0.500 0.500 0.500
```

Arrangement Q

The following is a PBE calculation of Re2RhW after structural relaxation, from Alexandria.

Properties
- size of the total moment (μB/cell) = 0.00

Cell and atoms, written as CIF:
```
data_Re2RhW
_chemical_formula_sum 'Re2 Rh1 W1'
_symmetry_space_group_name_H-M 'P 1'
_symmetry_Int_Tables_number 1
_symmetry_space_group_name_Hall 'P 1'
_cell_length_a 9.213
_cell_length_b 9.213
_cell_length_c 9.213
_cell_angle_alpha 17.34
_cell_angle_beta 17.34
_cell_angle_gamma 17.34
loop_
_atom_site_label
_atom_site_fract_x
_atom_site_fract_y
_atom_site_fract_z
W1 0.248 0.248 0.248
Re1 0.002 0.002 0.002
Re2 0.749 0.749 0.749
Rh1 0.501 0.501 0.501
```

Name the least stable of them. arrangement P.

Arrangement P

The following is a PBE calculation of Re2RhW after structural relaxation, from Alexandria.

Properties
- size of the total moment (μB/cell) = 0.00

Cell and atoms, written as CIF:
```
data_Re2RhW
_chemical_formula_sum 'Re2 Rh1 W1'
_symmetry_space_group_name_H-M 'P 1'
_symmetry_Int_Tables_number 1
_symmetry_space_group_name_Hall 'P 1'
_cell_length_a 4.817
_cell_length_b 4.817
_cell_length_c 4.817
_cell_angle_alpha 132.13
_cell_angle_beta 132.13
_cell_angle_gamma 70.03
loop_
_atom_site_label
_atom_site_fract_x
_atom_site_fract_y
_atom_site_fract_z
Rh1 0.000 0.000 0.000
Re1 0.250 0.750 0.500
Re2 0.750 0.250 0.500
W1 0.500 0.500 0.000
```

Arrangement Q

The following is a PBE calculation of Re2RhW after structural relaxation, from Alexandria.

Properties
- size of the total moment (μB/cell) = 0.00

Cell and atoms, written as CIF:
```
data_Re2RhW
_chemical_formula_sum 'Re2 Rh1 W1'
_symmetry_space_group_name_H-M 'P 1'
_symmetry_Int_Tables_number 1
_symmetry_space_group_name_Hall 'P 1'
_cell_length_a 4.418
_cell_length_b 4.418
_cell_length_c 4.470
_cell_angle_alpha 60.39
_cell_angle_beta 60.39
_cell_angle_gamma 60.00
loop_
_atom_site_label
_atom_site_fract_x
_atom_site_fract_y
_atom_site_fract_z
Re1 0.017 0.017 0.949
Re2 0.253 0.253 0.242
W1 0.500 0.500 0.499
Rh1 0.730 0.730 0.810
```

Name the least stable of them. arrangement Q.

Arrangement P

The following is a PBE calculation of Re2RhW after structural relaxation, from Alexandria.

Properties
- size of the total moment (μB/cell) = 0.00

Cell and atoms, written as CIF:
```
data_Re2RhW
_chemical_formula_sum 'Re2 Rh1 W1'
_symmetry_space_group_name_H-M 'P 1'
_symmetry_Int_Tables_number 1
_symmetry_space_group_name_Hall 'P 1'
_cell_length_a 3.894
_cell_length_b 3.894
_cell_length_c 3.961
_cell_angle_alpha 90.00
_cell_angle_beta 90.00
_cell_angle_gamma 90.00
loop_
_atom_site_label
_atom_site_fract_x
_atom_site_fract_y
_atom_site_fract_z
Re1 0.000 0.000 0.000
Re2 0.500 0.500 0.000
W1 0.000 0.500 0.500
Rh1 0.500 0.000 0.500
```

Arrangement Q

The following is a PBE calculation of Re2RhW after structural relaxation, from Alexandria.

Properties
- size of the total moment (μB/cell) = 0.00

Cell and atoms, written as CIF:
```
data_Re2RhW
_chemical_formula_sum 'Re4 Rh2 W2'
_symmetry_space_group_name_H-M 'P 1'
_symmetry_Int_Tables_number 1
_symmetry_space_group_name_Hall 'P 1'
_cell_length_a 3.815
_cell_length_b 3.815
_cell_length_c 9.511
_cell_angle_alpha 78.43
_cell_angle_beta 78.43
_cell_angle_gamma 90.00
loop_
_atom_site_label
_atom_site_fract_x
_atom_site_fract_y
_atom_site_fract_z
Re1 0.152 0.625 0.250
Re2 0.875 0.848 0.750
Re3 0.375 0.402 0.750
Re4 0.598 0.125 0.250
W1 0.000 0.000 0.000
W2 0.750 0.250 0.500
Rh1 0.500 0.500 0.000
Rh2 0.250 0.750 0.500
```

Name the least stable of them. arrangement Q.

Arrangement P

The following is a PBE calculation of ReRh6W after structural relaxation, from Alexandria.

Properties
- size of the total moment (μB/cell) = 0.00

Cell and atoms, written as CIF:
```
data_ReRh6W
_chemical_formula_sum 'Re1 Rh6 W1'
_symmetry_space_group_name_H-M 'P 1'
_symmetry_Int_Tables_number 1
_symmetry_space_group_name_Hall 'P 1'
_cell_length_a 5.150
_cell_length_b 5.150
_cell_length_c 5.150
_cell_angle_alpha 89.28
_cell_angle_beta 89.28
_cell_angle_gamma 89.28
loop_
_atom_site_label
_atom_site_fract_x
_atom_site_fract_y
_atom_site_fract_z
Rh1 0.555 0.169 0.169
Rh2 0.169 0.555 0.169
Rh3 0.445 0.831 0.831
Rh4 0.831 0.831 0.445
Rh5 0.831 0.445 0.831
Rh6 0.169 0.169 0.555
W1 0.500 0.500 0.500
Re1 0.000 0.000 0.000
```

Arrangement Q

The following is a PBE calculation of ReRh6W after structural relaxation, from Alexandria.

Properties
- size of the total moment (μB/cell) = 0.31

Cell and atoms, written as CIF:
```
data_ReRh6W
_chemical_formula_sum 'Re1 Rh6 W1'
_symmetry_space_group_name_H-M 'P 1'
_symmetry_Int_Tables_number 1
_symmetry_space_group_name_Hall 'P 1'
_cell_length_a 3.877
_cell_length_b 5.450
_cell_length_c 5.450
_cell_angle_alpha 90.00
_cell_angle_beta 90.00
_cell_angle_gamma 90.00
loop_
_atom_site_label
_atom_site_fract_x
_atom_site_fract_y
_atom_site_fract_z
Rh1 0.000 0.749 0.749
Rh2 0.500 0.000 0.500
Rh3 0.000 0.251 0.251
Rh4 0.500 0.500 0.000
Rh5 0.000 0.749 0.251
Rh6 0.000 0.251 0.749
Re1 0.500 0.500 0.500
W1 0.500 0.000 0.000
```

Name the least stable of them. arrangement P.

Arrangement P

The following is a PBE calculation of YRe2Rh after structural relaxation, from Alexandria.

Properties
- size of the total moment (μB/cell) = 0.25

Cell and atoms, written as CIF:
```
data_YRe2Rh
_chemical_formula_sum 'Y1 Re2 Rh1'
_symmetry_space_group_name_H-M 'P 1'
_symmetry_Int_Tables_number 1
_symmetry_space_group_name_Hall 'P 1'
_cell_length_a 9.943
_cell_length_b 9.943
_cell_length_c 9.943
_cell_angle_alpha 16.34
_cell_angle_beta 16.34
_cell_angle_gamma 16.34
loop_
_atom_site_label
_atom_site_fract_x
_atom_site_fract_y
_atom_site_fract_z
Y1 0.750 0.750 0.750
Re1 0.991 0.991 0.991
Re2 0.509 0.509 0.509
Rh1 0.250 0.250 0.250
```

Arrangement Q

The following is a PBE calculation of YRe2Rh after structural relaxation, from Alexandria.

Properties
- size of the total moment (μB/cell) = 0.00

Cell and atoms, written as CIF:
```
data_YRe2Rh
_chemical_formula_sum 'Y1 Re2 Rh1'
_symmetry_space_group_name_H-M 'P 1'
_symmetry_Int_Tables_number 1
_symmetry_space_group_name_Hall 'P 1'
_cell_length_a 2.790
_cell_length_b 2.790
_cell_length_c 8.749
_cell_angle_alpha 90.00
_cell_angle_beta 90.00
_cell_angle_gamma 90.00
loop_
_atom_site_label
_atom_site_fract_x
_atom_site_fract_y
_atom_site_fract_z
Re1 0.000 0.000 0.032
Re2 0.000 0.000 0.468
Rh1 0.500 0.500 0.250
Y1 0.500 0.500 0.750
```

Name the least stable of them. arrangement P.

Arrangement P

The following is a PBE calculation of YReRh after structural relaxation, from Alexandria.

Properties
- size of the total moment (μB/cell) = 0.01

Cell and atoms, written as CIF:
```
data_YReRh
_chemical_formula_sum 'Y1 Re1 Rh1'
_symmetry_space_group_name_H-M 'P 1'
_symmetry_Int_Tables_number 1
_symmetry_space_group_name_Hall 'P 1'
_cell_length_a 4.477
_cell_length_b 4.477
_cell_length_c 4.477
_cell_angle_alpha 60.00
_cell_angle_beta 60.00
_cell_angle_gamma 60.00
loop_
_atom_site_label
_atom_site_fract_x
_atom_site_fract_y
_atom_site_fract_z
Y1 0.000 0.000 0.000
Rh1 0.750 0.750 0.750
Re1 0.500 0.500 0.500
```

Arrangement Q

The following is a PBE calculation of YReRh after structural relaxation, from Alexandria.

Properties
- size of the total moment (μB/cell) = 0.00

Cell and atoms, written as CIF:
```
data_YReRh
_chemical_formula_sum 'Y1 Re1 Rh1'
_symmetry_space_group_name_H-M 'P 1'
_symmetry_Int_Tables_number 1
_symmetry_space_group_name_Hall 'P 1'
_cell_length_a 4.639
_cell_length_b 4.639
_cell_length_c 2.968
_cell_angle_alpha 90.00
_cell_angle_beta 90.00
_cell_angle_gamma 120.00
loop_
_atom_site_label
_atom_site_fract_x
_atom_site_fract_y
_atom_site_fract_z
Rh1 0.667 0.333 0.166
Y1 0.333 0.667 0.667
Re1 0.000 0.000 0.167
```

Arrangement R

The following is a PBE calculation of YReRh after structural relaxation, from Alexandria.

Properties
- size of the total moment (μB/cell) = 2.64

Cell and atoms, written as CIF:
```
data_YReRh
_chemical_formula_sum 'Y1 Re1 Rh1'
_symmetry_space_group_name_H-M 'P 1'
_symmetry_Int_Tables_number 1
_symmetry_space_group_name_Hall 'P 1'
_cell_length_a 4.540
_cell_length_b 4.540
_cell_length_c 4.540
_cell_angle_alpha 60.00
_cell_angle_beta 60.00
_cell_angle_gamma 60.00
loop_
_atom_site_label
_atom_site_fract_x
_atom_site_fract_y
_atom_site_fract_z
Re1 0.000 0.000 0.000
Rh1 0.500 0.500 0.500
Y1 0.750 0.750 0.750
```

Name the least stable of them. arrangement R.

Arrangement P

The following is a PBE calculation of YReRh after structural relaxation, from Alexandria.

Properties
- size of the total moment (μB/cell) = 0.00

Cell and atoms, written as CIF:
```
data_YReRh
_chemical_formula_sum 'Y1 Re1 Rh1'
_symmetry_space_group_name_H-M 'P 1'
_symmetry_Int_Tables_number 1
_symmetry_space_group_name_Hall 'P 1'
_cell_length_a 5.676
_cell_length_b 5.676
_cell_length_c 5.676
_cell_angle_alpha 150.43
_cell_angle_beta 140.34
_cell_angle_gamma 50.24
loop_
_atom_site_label
_atom_site_fract_x
_atom_site_fract_y
_atom_site_fract_z
Re1 0.965 0.965 0.000
Rh1 0.370 0.370 0.000
Y1 0.665 0.665 0.000
```

Arrangement Q

The following is a PBE calculation of YReRh after structural relaxation, from Alexandria.

Properties
- size of the total moment (μB/cell) = 0.00

Cell and atoms, written as CIF:
```
data_YReRh
_chemical_formula_sum 'Y1 Re1 Rh1'
_symmetry_space_group_name_H-M 'P 1'
_symmetry_Int_Tables_number 1
_symmetry_space_group_name_Hall 'P 1'
_cell_length_a 2.964
_cell_length_b 2.964
_cell_length_c 7.147
_cell_angle_alpha 90.00
_cell_angle_beta 90.00
_cell_angle_gamma 120.00
loop_
_atom_site_label
_atom_site_fract_x
_atom_site_fract_y
_atom_site_fract_z
Y1 0.333 0.667 0.662
Re1 0.000 0.000 0.028
Rh1 0.667 0.333 0.310
```

Arrangement R

The following is a PBE calculation of YReRh after structural relaxation, from Alexandria.

Properties
- size of the total moment (μB/cell) = 0.00

Cell and atoms, written as CIF:
```
data_YReRh
_chemical_formula_sum 'Y1 Re1 Rh1'
_symmetry_space_group_name_H-M 'P 1'
_symmetry_Int_Tables_number 1
_symmetry_space_group_name_Hall 'P 1'
_cell_length_a 6.499
_cell_length_b 6.499
_cell_length_c 2.998
_cell_angle_alpha 76.66
_cell_angle_beta 76.66
_cell_angle_gamma 26.67
loop_
_atom_site_label
_atom_site_fract_x
_atom_site_fract_y
_atom_site_fract_z
Y1 0.665 0.665 0.335
Rh1 0.355 0.355 0.645
Re1 0.980 0.980 0.020
```

Name the least stable of them. arrangement Q.

Arrangement P

The following is a PBE calculation of YRe2Rh2 after structural relaxation, from Alexandria.

Properties
- size of the total moment (μB/cell) = 0.00

Cell and atoms, written as CIF:
```
data_YRe2Rh2
_chemical_formula_sum 'Y1 Re2 Rh2'
_symmetry_space_group_name_H-M 'P 1'
_symmetry_Int_Tables_number 1
_symmetry_space_group_name_Hall 'P 1'
_cell_length_a 4.177
_cell_length_b 4.177
_cell_length_c 6.113
_cell_angle_alpha 70.02
_cell_angle_beta 70.02
_cell_angle_gamma 90.00
loop_
_atom_site_label
_atom_site_fract_x
_atom_site_fract_y
_atom_site_fract_z
Y1 0.000 0.000 0.000
Rh1 0.250 0.750 0.500
Rh2 0.750 0.250 0.500
Re1 0.609 0.609 0.782
Re2 0.391 0.391 0.218
```

Arrangement Q

The following is a PBE calculation of YRe2Rh2 after structural relaxation, from Alexandria.

Properties
- size of the total moment (μB/cell) = 0.00

Cell and atoms, written as CIF:
```
data_YRe2Rh2
_chemical_formula_sum 'Y2 Re4 Rh4'
_symmetry_space_group_name_H-M 'P 1'
_symmetry_Int_Tables_number 1
_symmetry_space_group_name_Hall 'P 1'
_cell_length_a 7.792
_cell_length_b 7.792
_cell_length_c 2.779
_cell_angle_alpha 90.00
_cell_angle_beta 90.00
_cell_angle_gamma 90.00
loop_
_atom_site_label
_atom_site_fract_x
_atom_site_fract_y
_atom_site_fract_z
Rh1 0.675 0.825 0.500
Rh2 0.825 0.325 0.500
Rh3 0.175 0.675 0.500
Rh4 0.325 0.175 0.500
Re1 0.382 0.882 0.000
Re2 0.618 0.118 0.000
Re3 0.882 0.618 0.000
Re4 0.118 0.382 0.000
Y1 0.500 0.500 0.000
Y2 0.000 0.000 0.000
```

Name the least stable of them. arrangement P.